[1]
A plane-wave DFT calculation with PBE was carried out for a relaxed Dy4Ge2Te crystal.

Cell and atoms, written as extended XYZ:
```
14
Lattice="-7.298 -3.515 3.137 3.286 0.332 8.034 -0.378 7.201 -4.842" Properties=species:S:1:pos:R:3 pbc="T T T"
Dy -0.962 0.347 5.079
Ge -1.780 -0.106 7.779
Te -0.378 7.201 -4.842
Dy -6.045 2.167 0.393
Ge -3.612 3.328 1.341
Te 0.452 2.971 4.388
Dy -2.785 0.602 1.117
Ge -3.423 -0.272 3.763
Dy -4.061 -1.146 6.408
Dy -2.575 4.347 -1.120
Dy -1.178 4.489 2.290
Ge 0.037 5.086 -0.227
Dy -4.649 2.310 3.802
Dy -5.884 -0.891 2.446
```

## Properties
Its space group is Fd-3m, No. 227. As for the density of states at the Fermi level: 7.69 states/eV per cell. As for the total DFT energy (no corrections): -5.15 eV per atom. The value obtained for the uncorrected formation energy is -0.749 eV per atom.


[2]
A plane-wave DFT calculation with PBE was carried out for a relaxed Cu2SiRh crystal.

Cell and atoms, written as extended XYZ:
```
4
Lattice="-0.449 0.005 -4.381 2.960 -2.945 1.401 -2.097 -2.005 0.213" Properties=species:S:1:pos:R:3 pbc="T T T"
Rh -1.273 -1.000 -2.084
Cu 0.000 0.000 0.000
Si 0.432 -2.475 0.807
Cu 1.255 -1.470 -1.490
```

## Properties
Its space group is Cmmm, No. 65. As for the density of states at the Fermi level: 2.43 states/eV per cell. As for the total DFT energy (no corrections): -5.37 eV per atom. The value obtained for the uncorrected formation energy is -0.125 eV per atom.